# AcMoWO6 (PBE with a Hubbard U, optimized geometry)
data_AcMoWO6
_cell_length_a 5.8137
_cell_length_b 5.8137
_cell_length_c 8.4124
_cell_angle_alpha 90.00
_cell_angle_beta 90.00
_cell_angle_gamma 120.00
_space_group_name_H-M_alt 'P -3 1 c'
_space_group_IT_number 163
_space_group_name_Hall '-P 3 2c'
loop_
_atom_site_label
_atom_site_fract_x
_atom_site_fract_y
_atom_site_fract_z
Ac1 0.3333 0.6667 0.2500
Mo1 0.0000 0.0000 0.0000
W1 0.3333 0.6667 0.7500
O1 0.0753 0.3705 0.6195
# Total energy   -7.5774 eV per atom
# Calculated volume   13.680 A^3/atom